# 1
! Y2Hf4Ga3N3 PBE-GGA relaxed; values from VASP
&SYSTEM
  ibrav = 0, nat = 24, ntyp = 4
/
ATOMIC_SPECIES
Y 88.91 Y.upf
Hf 178.49 Hf.upf
Ga 69.72 Ga.upf
N 14.01 N.upf
ATOMIC_POSITIONS crystal
Y 0.037 0.873 0.611
Y 0.127 0.963 0.889
Y 0.873 0.037 0.111
Y 0.963 0.127 0.389
Hf 0.193 0.353 0.083
Hf 0.298 0.482 0.417
Hf 0.353 0.193 0.583
Hf 0.482 0.298 0.917
Hf 0.518 0.702 0.083
Hf 0.647 0.807 0.417
Hf 0.702 0.518 0.583
Hf 0.807 0.647 0.917
Ga 0.085 0.387 0.751
Ga 0.387 0.085 0.251
Ga 0.445 0.555 0.250
Ga 0.555 0.445 0.750
Ga 0.613 0.915 0.749
Ga 0.915 0.613 0.249
N 0.000 0.500 0.500
N 0.171 0.658 0.000
N 0.342 0.829 0.500
N 0.500 0.000 0.000
N 0.658 0.171 0.500
N 0.829 0.342 0.000
CELL_PARAMETERS angstrom
4.942 -2.854 0.000
4.942 2.854 0.000
-3.305 0.000 14.056
! - VASP energy: -8.40 eV per atom


# 2
! TmAlOs PBE-GGA relaxed; values from VASP
&SYSTEM
  ibrav = 0, nat = 12, ntyp = 3
/
ATOMIC_SPECIES
Tm 168.93 Tm.upf
Al 26.98 Al.upf
Os 190.23 Os.upf
ATOMIC_POSITIONS crystal
Tm 0.000 0.000 0.000
Tm 0.000 0.500 0.500
Tm 0.500 0.000 0.500
Tm 0.500 0.500 0.000
Al 0.250 0.250 0.750
Al 0.250 0.750 0.250
Al 0.750 0.250 0.250
Al 0.750 0.750 0.750
Os 0.000 0.000 0.500
Os 0.000 0.500 0.000
Os 0.500 0.000 0.000
Os 0.500 0.500 0.500
CELL_PARAMETERS angstrom
6.230 0.000 0.000
0.000 6.230 0.000
0.000 0.000 6.230
! - VASP energy: -6.37 eV per atom


# 3
! Tm2BeO4 PBE-GGA relaxed; values from VASP
&SYSTEM
  ibrav = 0, nat = 14, ntyp = 3
/
ATOMIC_SPECIES
Tm 168.93 Tm.upf
Be 9.01 Be.upf
O 16.00 O.upf
ATOMIC_POSITIONS crystal
Tm 0.000 0.000 0.000
Tm 0.000 0.000 0.500
Tm 0.000 0.500 0.000
Tm 0.500 0.000 0.000
Be 0.375 0.375 0.375
Be 0.625 0.625 0.625
O 0.255 0.255 0.255
O 0.255 0.255 0.736
O 0.255 0.736 0.255
O 0.264 0.745 0.745
O 0.736 0.255 0.255
O 0.745 0.264 0.745
O 0.745 0.745 0.264
O 0.745 0.745 0.745
CELL_PARAMETERS angstrom
0.000 4.382 4.382
4.382 0.000 4.382
4.382 4.382 0.000
! - VASP energy: -7.59 eV per atom


# 4
! PmZrSb PBE-GGA relaxed; values from VASP
&SYSTEM
  ibrav = 0, nat = 12, ntyp = 3
/
ATOMIC_SPECIES
Pm 145.00 Pm.upf
Zr 91.22 Zr.upf
Sb 121.76 Sb.upf
ATOMIC_POSITIONS crystal
Pm 0.000 0.000 0.000
Pm 0.000 0.500 0.500
Pm 0.500 0.000 0.500
Pm 0.500 0.500 0.000
Zr 0.000 0.000 0.500
Zr 0.000 0.500 0.000
Zr 0.500 0.000 0.000
Zr 0.500 0.500 0.500
Sb 0.250 0.250 0.250
Sb 0.250 0.750 0.750
Sb 0.750 0.250 0.750
Sb 0.750 0.750 0.250
CELL_PARAMETERS angstrom
7.058 0.000 0.000
0.000 7.058 0.000
0.000 0.000 7.058
! - Relative energy among the computed polymorphs: 0.00 eV/f.u.


# 5
! LaAgGeSe2S PBE-GGA relaxed; values from VASP
&SYSTEM
  ibrav = 0, nat = 12, ntyp = 5
/
ATOMIC_SPECIES
La 138.91 La.upf
Ag 107.87 Ag.upf
Ge 72.64 Ge.upf
Se 78.96 Se.upf
S 32.06 S.upf
ATOMIC_POSITIONS crystal
La 0.000 0.000 0.000
La 0.000 0.000 0.500
Ag 0.482 0.518 0.750
Ag 0.518 0.482 0.250
Ge 0.239 0.761 0.250
Ge 0.761 0.239 0.750
Se 0.344 0.656 0.577
Se 0.344 0.656 0.923
Se 0.656 0.344 0.077
Se 0.656 0.344 0.423
S 0.099 0.901 0.750
S 0.901 0.099 0.250
CELL_PARAMETERS angstrom
2.041 -6.596 0.000
2.041 6.596 0.000
0.000 0.000 10.903
! - VASP energy: -4.72 eV per atom


# 6
! Zn3P4H20C4N2O12 PBE-GGA relaxed; values from VASP
&SYSTEM
  ibrav = 0, nat = 90, ntyp = 6
/
ATOMIC_SPECIES
Zn 65.41 Zn.upf
P 30.97 P.upf
H 1.01 H.upf
C 12.01 C.upf
N 14.01 N.upf
O 16.00 O.upf
ATOMIC_POSITIONS crystal
Zn 0.004 0.723 0.476
Zn 0.124 0.876 0.750
Zn 0.277 0.996 0.024
Zn 0.723 0.004 0.976
Zn 0.876 0.124 0.250
Zn 0.996 0.277 0.524
P 0.116 0.840 0.100
P 0.160 0.884 0.400
P 0.218 0.471 0.637
P 0.471 0.218 0.137
P 0.529 0.782 0.863
P 0.782 0.529 0.363
P 0.840 0.116 0.600
P 0.884 0.160 0.900
H 0.052 0.658 0.918
H 0.073 0.360 0.887
H 0.088 0.619 0.811
H 0.107 0.493 0.192
H 0.112 0.319 0.774
H 0.200 0.705 0.156
H 0.295 0.800 0.344
H 0.319 0.112 0.274
H 0.342 0.948 0.582
H 0.356 0.392 0.339
H 0.360 0.073 0.387
H 0.360 0.386 0.951
H 0.368 0.562 0.922
H 0.381 0.912 0.689
H 0.384 0.414 0.167
H 0.386 0.360 0.451
H 0.392 0.356 0.839
H 0.414 0.384 0.667
H 0.438 0.632 0.578
H 0.493 0.107 0.692
H 0.507 0.893 0.308
H 0.562 0.368 0.422
H 0.586 0.616 0.333
H 0.608 0.644 0.161
H 0.614 0.640 0.549
H 0.616 0.586 0.833
H 0.619 0.088 0.311
H 0.632 0.438 0.078
H 0.640 0.614 0.049
H 0.640 0.927 0.613
H 0.644 0.608 0.661
H 0.658 0.052 0.418
H 0.681 0.888 0.726
H 0.705 0.200 0.656
H 0.800 0.295 0.844
H 0.888 0.681 0.226
H 0.893 0.507 0.808
H 0.912 0.381 0.189
H 0.927 0.640 0.113
H 0.948 0.342 0.082
C 0.044 0.425 0.831
C 0.323 0.458 0.896
C 0.425 0.044 0.331
C 0.458 0.323 0.396
C 0.542 0.677 0.604
C 0.575 0.956 0.669
C 0.677 0.542 0.104
C 0.956 0.575 0.169
N 0.117 0.555 0.865
N 0.445 0.883 0.635
N 0.555 0.117 0.365
N 0.883 0.445 0.135
O 0.025 0.035 0.159
O 0.030 0.199 0.975
O 0.035 0.025 0.659
O 0.130 0.639 0.713
O 0.165 0.327 0.630
O 0.181 0.526 0.547
O 0.194 0.727 0.438
O 0.199 0.030 0.475
O 0.273 0.806 0.062
O 0.327 0.165 0.130
O 0.361 0.870 0.787
O 0.474 0.819 0.953
O 0.526 0.181 0.047
O 0.639 0.130 0.213
O 0.673 0.835 0.870
O 0.727 0.194 0.938
O 0.801 0.970 0.525
O 0.806 0.273 0.562
O 0.819 0.474 0.453
O 0.835 0.673 0.370
O 0.870 0.361 0.287
O 0.965 0.975 0.341
O 0.970 0.801 0.025
O 0.975 0.965 0.841
CELL_PARAMETERS angstrom
7.755 -4.113 0.000
7.755 4.113 0.000
-5.814 0.000 14.663
! - VASP energy: -5.52 eV per atom


# 7
! LiSmTeO PBE-GGA relaxed; values from VASP
&SYSTEM
  ibrav = 0, nat = 8, ntyp = 4
/
ATOMIC_SPECIES
Li 6.94 Li.upf
Sm 150.36 Sm.upf
Te 127.60 Te.upf
O 16.00 O.upf
ATOMIC_POSITIONS crystal
Li 0.250 0.750 0.000
Li 0.750 0.250 0.000
Sm 0.250 0.250 0.383
Sm 0.750 0.750 0.617
Te 0.250 0.250 0.813
Te 0.750 0.750 0.187
O 0.250 0.750 0.500
O 0.750 0.250 0.500
CELL_PARAMETERS angstrom
4.117 0.000 0.000
0.000 4.117 0.000
0.000 0.000 9.429
! - Relative energy among the computed polymorphs: 0.00 eV/f.u.


# 8
! ZnCdCuSb PBE-GGA relaxed; values from VASP
&SYSTEM
  ibrav = 0, nat = 16, ntyp = 4
/
ATOMIC_SPECIES
Zn 65.41 Zn.upf
Cd 112.41 Cd.upf
Cu 63.55 Cu.upf
Sb 121.76 Sb.upf
ATOMIC_POSITIONS crystal
Zn 0.000 0.000 0.000
Zn 0.000 0.500 0.500
Zn 0.500 0.000 0.500
Zn 0.500 0.500 0.000
Cd 0.250 0.250 0.750
Cd 0.250 0.750 0.250
Cd 0.750 0.250 0.250
Cd 0.750 0.750 0.750
Cu 0.000 0.000 0.500
Cu 0.000 0.500 0.000
Cu 0.500 0.000 0.000
Cu 0.500 0.500 0.500
Sb 0.250 0.250 0.250
Sb 0.250 0.750 0.750
Sb 0.750 0.250 0.750
Sb 0.750 0.750 0.250
CELL_PARAMETERS angstrom
6.783 0.000 0.000
0.000 6.783 0.000
0.000 0.000 6.783
! - Relative energy among the computed polymorphs: 0.00 eV/f.u.


# 9
! Ba2Ho PBE-GGA relaxed; values from VASP
&SYSTEM
  ibrav = 0, nat = 6, ntyp = 2
/
ATOMIC_SPECIES
Ba 137.33 Ba.upf
Ho 164.93 Ho.upf
ATOMIC_POSITIONS crystal
Ba 0.000 0.000 0.000
Ba 0.000 0.000 0.500
Ba 0.000 0.500 0.000
Ba 0.500 0.000 0.000
Ho 0.375 0.375 0.375
Ho 0.625 0.625 0.625
CELL_PARAMETERS angstrom
0.000 5.240 5.240
5.240 0.000 5.240
5.240 5.240 0.000
! - Relative energy among the computed polymorphs: 0.95 eV/f.u.


# 10
! Nd2GdMg3CuPt2 PBE-GGA relaxed; values from VASP
&SYSTEM
  ibrav = 0, nat = 9, ntyp = 5
/
ATOMIC_SPECIES
Nd 144.24 Nd.upf
Gd 157.25 Gd.upf
Mg 24.30 Mg.upf
Cu 63.55 Cu.upf
Pt 195.08 Pt.upf
ATOMIC_POSITIONS crystal
Nd 0.000 0.207 0.793
Nd 0.000 0.793 0.207
Gd 0.000 0.379 0.379
Mg 0.500 0.036 0.036
Mg 0.500 0.551 0.791
Mg 0.500 0.791 0.551
Cu 0.000 0.789 0.789
Pt 0.500 0.132 0.458
Pt 0.500 0.458 0.132
CELL_PARAMETERS angstrom
4.053 0.000 0.000
0.000 6.539 3.795
0.000 -6.539 3.795
! - VASP energy: -4.53 eV per atom